No. 1
This record from the Alexandria database describes SrMg2ZnSe4 after structural relaxation. The functional is PBE.

Lattice parameters (Å, degrees): 4.0016 7.0615 14.0838 90.00 90.00 106.46
With the nearest neighbours (Å) after each atom.
Atoms (fractional coordinates):
Zn 0.1514 0.3029 0.2500  4 Se 2.44-2.45
Sr 0.1284 0.2568 0.7500  6 Se 3.10-3.18
Se 0.2597 0.5194 0.3886  1 Zn 2.44
Se 0.0000 0.0000 0.5000  4 Mg 2.72
Mg 0.3754 0.7509 0.9471  6 Se 2.72-2.97
Se 0.5466 0.0933 0.2500  2 Zn 2.45
Sr 0.8716 0.7432 0.2500  6 Se 3.10-3.18
Mg 0.3754 0.7509 0.5529  6 Se 2.72-2.97
Se 0.4534 0.9067 0.7500  2 Zn 2.45
Se 0.2597 0.5194 0.1114  1 Zn 2.44
Zn 0.8486 0.6971 0.7500  4 Se 2.44-2.45
Se 0.0000 0.0000 0.0000  4 Mg 2.72
Mg 0.6246 0.2491 0.4471  6 Se 2.72-2.97
Se 0.7403 0.4806 0.8886  1 Zn 2.44
Mg 0.6246 0.2491 0.0529  6 Se 2.72-2.97
Se 0.7403 0.4806 0.6114  1 Zn 2.44

Summary:
Space-group type: Cmcm, No. 63
ΔE_f (raw) in eV/atom: -1.2227

No. 2
This record from the Alexandria database describes Cr2SiRh8 after structural relaxation. The functional is PBE.

Lattice parameters (Å, degrees): 4.0493 7.0323 6.7371 121.46 107.49 90.00
With the nearest neighbours (Å) after each atom.
Atoms (fractional coordinates):
Rh 0.0000 0.3224 0.0000  7 Rh 2.50-2.69, 2 Cr 2.52
Rh 0.1353 0.1353 0.2706  2 Si 2.49, 2 Cr 2.67, 4 Rh 2.69-2.70
Rh 0.8647 0.8647 0.7294  2 Si 2.49, 2 Cr 2.67, 4 Rh 2.69-2.70
Cr 0.7964 0.2964 0.5928  10 Rh 2.50-2.67
Rh 0.6568 0.8723 0.3137  3 Cr 2.50-2.58, 1 Si 2.62, 3 Rh 2.65-2.70
Rh 0.0000 0.6776 0.0000  7 Rh 2.50-2.69, 2 Cr 2.52
Rh 0.6568 0.4413 0.3137  3 Cr 2.50-2.58, 1 Si 2.62, 3 Rh 2.65-2.70
Si 0.5000 0.0000 0.0000  8 Rh 2.49-2.62
Rh 0.3432 0.1277 0.6863  3 Cr 2.50-2.58, 1 Si 2.62, 3 Rh 2.65-2.70
Cr 0.2036 0.7036 0.4072  10 Rh 2.50-2.67
Rh 0.3432 0.5587 0.6863  3 Cr 2.50-2.58, 1 Si 2.62, 3 Rh 2.65-2.70

Summary:
Space-group type: Immm, No. 71
ΔE_f (raw) in eV/atom: -0.1147

The following total DFT energy (no corrections) values (in eV per atom) correspond, in order, to the records above: -3.733; -7.704.